(1)
## SrScAl (PBE)

Data for a geometry-optimized SrScAl structure.

Cell lengths 4.853, 6.738, 6.738 Å; angles 124.98, 90.00, 90.00 degrees
Element x y z (fractional)
Sr: 0.000 0.000 0.000
Sr: 0.500 0.483 0.483
Sc: 0.000 0.364 0.787
Sc: 0.000 0.787 0.364
Al: 0.500 0.062 0.613
Al: 0.500 0.613 0.062

**D(E_F)**: 5.55 states/eV per cell

***

(2)
## SrScAl (PBE)

Data for a geometry-optimized SrScAl structure.

Cell lengths 6.971, 6.971, 6.971 Å; angles 149.77, 149.77, 43.29 degrees
Element x y z (fractional)
Sr: 0.000 0.000 0.000
Sc: 0.720 0.720 0.000
Al: 0.324 0.324 0.000

**D(E_F)**: 3.29 states/eV per cell

***

(3)
## SrScAl (PBE)

Data for a geometry-optimized SrScAl structure.

Cell lengths 3.610, 3.610, 7.841 Å; angles 90.00, 90.00, 120.00 degrees
Element x y z (fractional)
Sr: 0.000 0.000 0.000
Sc: 0.667 0.333 0.588
Al: 0.333 0.667 0.328

**D(E_F)**: 3.06 states/eV per cell

***

(4)
## SrScAl (PBE)

Data for a geometry-optimized SrScAl structure.

Cell lengths 4.836, 6.206, 6.282 Å; angles 89.86, 73.27, 89.96 degrees
Element x y z (fractional)
Sr: 0.239 0.250 0.459
Sr: 0.761 0.750 0.541
Sc: 0.463 0.750 0.089
Sc: 0.537 0.250 0.911
Al: 0.000 0.000 0.000
Al: 0.000 0.500 0.000

**D(E_F)**: 4.79 states/eV per cell

***

Stability check: which of them is least stable? (3).

***

(1)
## SrScAl (PBE)

Data for a geometry-optimized SrScAl structure.

Cell lengths 4.246, 5.035, 10.201 Å; angles 81.17, 89.81, 65.12 degrees
Element x y z (fractional)
Sr: 0.000 0.000 0.000
Sr: 0.347 0.315 0.319
Sc: 0.017 0.971 0.593
Sc: 0.665 0.672 0.785
Al: 0.337 0.329 0.693
Al: 0.703 0.599 0.514

**D(E_F)**: 5.60 states/eV per cell

***

(2)
## SrScAl (PBE)

Data for a geometry-optimized SrScAl structure.

Cell lengths 5.055, 5.055, 10.131 Å; angles 101.53, 101.53, 50.29 degrees
Element x y z (fractional)
Sr: 0.000 0.000 0.000
Sr: 0.631 0.631 0.684
Sc: 0.186 0.186 0.408
Sc: 0.754 0.754 0.216
Al: 0.464 0.464 0.309
Al: 0.906 0.906 0.492

**D(E_F)**: 4.97 states/eV per cell

***

(3)
## SrScAl (PBE)

Data for a geometry-optimized SrScAl structure.

Cell lengths 6.538, 6.538, 6.476 Å; angles 90.00, 90.00, 138.62 degrees
Element x y z (fractional)
Sr: 0.212 0.788 0.750
Sr: 0.788 0.212 0.250
Sc: 0.500 0.500 0.000
Sc: 0.500 0.500 0.500
Al: 0.070 0.930 0.250
Al: 0.930 0.070 0.750

**D(E_F)**: 8.34 states/eV per cell

***

(4)
## SrScAl (PBE)

Data for a geometry-optimized SrScAl structure.

Cell lengths 11.760, 11.760, 3.842 Å; angles 99.35, 99.35, 21.17 degrees
Element x y z (fractional)
Sr: 0.000 0.000 0.000
Sr: 0.641 0.641 0.642
Sc: 0.266 0.266 0.765
Sc: 0.379 0.379 0.376
Al: 0.774 0.774 0.272
Al: 0.856 0.856 0.854

**D(E_F)**: 5.41 states/eV per cell

***

Stability check: which of them is least stable? (1).

***

(1)
## SrScAl (PBE)

Data for a geometry-optimized SrScAl structure.

Cell lengths 3.294, 6.154, 8.817 Å; angles 69.65, 87.14, 81.45 degrees
Element x y z (fractional)
Sr: 0.005 0.188 0.125
Sr: 0.995 0.812 0.875
Sc: 0.127 0.256 0.501
Sc: 0.873 0.744 0.499
Al: 0.498 0.625 0.248
Al: 0.502 0.375 0.752

**D(E_F)**: 6.20 states/eV per cell

***

(2)
## SrScAl (PBE)

Data for a geometry-optimized SrScAl structure.

Cell lengths 8.277, 4.947, 8.656 Å; angles 90.00, 90.00, 90.00 degrees
Element x y z (fractional)
Sr: 0.014 0.250 0.179
Sr: 0.486 0.750 0.679
Sr: 0.514 0.250 0.321
Sr: 0.986 0.750 0.821
Sc: 0.139 0.250 0.571
Sc: 0.361 0.750 0.071
Sc: 0.639 0.250 0.929
Sc: 0.861 0.750 0.429
Al: 0.208 0.750 0.392
Al: 0.292 0.250 0.892
Al: 0.708 0.750 0.108
Al: 0.792 0.250 0.608

**D(E_F)**: 0.22 states/eV per cell

***

(3)
## SrScAl (PBE)

Data for a geometry-optimized SrScAl structure.

Cell lengths 4.916, 4.916, 7.931 Å; angles 90.00, 90.00, 90.00 degrees
Element x y z (fractional)
Sr: 0.250 0.250 0.180
Sr: 0.750 0.750 0.820
Sc: 0.250 0.250 0.669
Sc: 0.750 0.750 0.331
Al: 0.250 0.750 0.500
Al: 0.750 0.250 0.500

**D(E_F)**: 7.43 states/eV per cell

***

Stability check: which of them is least stable? (3).

***

(1)
## Sr2ScAl2 (PBE)

Data for a geometry-optimized Sr2ScAl2 structure.

Cell lengths 11.685, 11.685, 11.685 Å; angles 161.30, 161.30, 26.56 degrees
Element x y z (fractional)
Sr: 0.120 0.120 0.000
Sr: 0.880 0.880 0.000
Sc: 0.500 0.500 0.000
Al: 0.250 0.750 0.500
Al: 0.750 0.250 0.500

**D(E_F)**: 7.81 states/eV per cell

***

(2)
## Sr2ScAl2 (PBE)

Data for a geometry-optimized Sr2ScAl2 structure.

Cell lengths 7.743, 7.743, 5.168 Å; angles 90.00, 90.00, 90.00 degrees
Element x y z (fractional)
Sr: 0.175 0.325 0.000
Sr: 0.325 0.825 0.000
Sr: 0.675 0.175 0.000
Sr: 0.825 0.675 0.000
Sc: 0.000 0.000 0.500
Sc: 0.500 0.500 0.500
Al: 0.123 0.623 0.500
Al: 0.377 0.123 0.500
Al: 0.623 0.877 0.500
Al: 0.877 0.377 0.500

**D(E_F)**: 13.55 states/eV per cell

***

Stability check: which of them is least stable? (1).

***

(1)
## SrScAl3 (PBE)

Data for a geometry-optimized SrScAl3 structure.

Cell lengths 5.440, 5.440, 5.440 Å; angles 90.00, 90.00, 90.00 degrees
Element x y z (fractional)
Sr: 0.000 0.000 0.000
Sc: 0.500 0.500 0.500
Al: 0.000 0.000 0.500
Al: 0.000 0.500 0.000
Al: 0.500 0.000 0.000

**D(E_F)**: 5.06 states/eV per cell

***

(2)
## SrScAl3 (PBE)

Data for a geometry-optimized SrScAl3 structure.

Cell lengths 5.267, 5.267, 5.267 Å; angles 90.00, 90.00, 90.00 degrees
Element x y z (fractional)
Sr: 0.000 0.000 0.000
Sc: 0.500 0.500 0.500
Al: 0.000 0.500 0.500
Al: 0.500 0.000 0.500
Al: 0.500 0.500 0.000

**D(E_F)**: 5.48 states/eV per cell

***

Stability check: which of them is least stable? (1).